7
Lattice="-1.935 -1.212 2.709 2.747 -1.974 1.079 4.169 11.509 10.441" Properties=species:S:1:pos:R:3 comment="Tb2Y2Tl3 PBE relaxed" de_polymorph_kj_per_mol_fu=20.6 formation_energy_ev_per_atom=-0.2352 n_ef_per_ev_cell=6.3 energy_ev_per_atom=-4.42 pbc="T T T"
Tl 0.000 0.000 0.000
Tl 5.522 6.249 9.056
Tl -0.542 2.074 5.174
Y 1.101 0.047 3.124
Y 3.879 8.276 11.105
Tb 2.505 5.036 8.675
Tb 2.475 3.287 5.554

4
Lattice="9.377 0.031 0.009 7.667 5.400 -0.009 -8.618 -2.414 2.800" Properties=species:S:1:pos:R:3 comment="Ba2ReBr PBE relaxed" de_polymorph_kj_per_mol_fu=41.5 raw_formation_energy_ev_per_atom=0.19 n_ef_per_ev_cell=3.8 energy_ev_per_atom=-4.30 pbc="T T T"
Ba 1.101 0.351 0.000
Ba 5.283 0.371 1.404
Br 7.736 2.465 0.000
Re 2.829 2.546 1.395

4
Lattice="-2.286 -3.676 -1.609 -0.227 -3.863 2.520 -3.998 -1.262 1.937" Properties=species:S:1:pos:R:3 comment="PuTiNbOs PBE relaxed" formation_energy_ev_per_atom=0.0068 n_ef_per_ev_cell=9.5 energy_ev_per_atom=-10.87 pbc="T T T"
Ti -1.628 -2.200 0.712
Nb -4.883 -6.600 2.137
Os -3.255 -4.400 1.424
Pu 0.000 0.000 0.000